Compound: Ge2Bi2Te
Source: Alexandria via LeMat-Bulk
Functional: PBE
Structure: relaxed

Lattice parameters (Å, degrees): 4.0968 4.0968 8.7016 76.38 76.38 90.00
Element x y z (fractional)
Bi 0.6090 0.6090 0.7820
Bi 0.3910 0.3910 0.2180
Te 0.0000 0.0000 0.0000
Ge 0.2500 0.7500 0.5000
Ge 0.7500 0.2500 0.5000

## Properties
Space-group type: I4/mmm (139)
Total DFT energy (no corrections), eV per atom: -3.883
Formation energy without anion corrections, eV/atom: 0.1447
Energy above the lowest structure with this stoichiometry, kcal/mol of atoms: 0.00

Compound: NbCr2N2
Source: Alexandria via LeMat-Bulk
Functional: PBE
Structure: relaxed

Lattice parameters (Å, degrees): 3.6980 3.6980 4.5835 66.21 66.21 90.00
Element x y z (fractional)
N 0.2500 0.7500 0.5000
N 0.7500 0.2500 0.5000
Cr 0.3545 0.3545 0.2909
Nb 0.0000 0.0000 0.0000
Cr 0.6455 0.6455 0.7091

## Properties
Space-group type: I4/mmm (139)
Total DFT energy (no corrections), eV per atom: -9.188
Formation energy without anion corrections, eV/atom: 0.0056
Energy above the lowest structure with this stoichiometry, kcal/mol of atoms: 0.00

Compound: RbCdPSe4
Source: Alexandria via LeMat-Bulk
Functional: PBE
Structure: relaxed

Lattice parameters (Å, degrees): 6.4525 7.3048 9.5388 90.00 106.19 90.00
Element x y z (fractional)
Rb 0.2446 0.2500 0.0678
Se 0.3283 0.7500 0.1268
Se 0.6717 0.2500 0.8732
P 0.8091 0.2500 0.6898
Se 0.5762 0.2500 0.4670
Cd 0.8101 0.7500 0.4860
Se 0.0417 0.4869 0.7042
Cd 0.1899 0.2500 0.5140
Rb 0.7554 0.7500 0.9322
Se 0.4238 0.7500 0.5330
Se 0.9583 0.5131 0.2958
Se 0.9583 0.9869 0.2958
Se 0.0417 0.0131 0.7042
P 0.1909 0.7500 0.3102

## Properties
Space-group type: P2_1/m (11)
Total DFT energy (no corrections), eV per atom: -3.536
Formation energy without anion corrections, eV/atom: -0.5029

Compound: LiLaGe2Ir
Source: Alexandria via LeMat-Bulk
Functional: PBE
Structure: relaxed

Lattice parameters (Å, degrees): 4.2735 4.2735 6.0501 110.68 110.68 90.00
Element x y z (fractional)
Li 0.7500 0.2500 0.5000
Ir 0.2500 0.7500 0.5000
La 0.0000 0.0000 0.0000
Ge 0.3744 0.3744 0.7487
Ge 0.6256 0.6256 0.2513

## Properties
Space-group type: I-4m2 (119)
Total DFT energy (no corrections), eV per atom: -5.679
E_form, eV per atom: -0.692

Compound: TlCdSn2Os
Source: Alexandria via LeMat-Bulk
Functional: PBE
Structure: relaxed

Lattice parameters (Å, degrees): 5.4286 5.1881 5.4286 90.00 90.00 90.00
Element x y z (fractional)
Sn 0.5000 0.0000 0.0000
Os 0.0000 0.5000 0.0000
Cd 0.0000 0.0000 0.0000
Sn 0.0000 0.0000 0.5000
Tl 0.5000 0.5000 0.5000

## Properties
Space-group type: P4/mmm (123)
Total DFT energy (no corrections), eV per atom: -3.185
E_form, eV per atom: 1.319

Compound: Sc3IrPb
Source: Alexandria via LeMat-Bulk
Functional: PBE
Structure: relaxed

Lattice parameters (Å, degrees): 5.0481 5.0481 5.0481 90.00 90.00 90.00
Element x y z (fractional)
Ir 0.0000 0.0000 0.0000
Sc 0.5000 0.0000 0.0000
Pb 0.5000 0.5000 0.5000
Sc 0.0000 0.0000 0.5000
Sc 0.0000 0.5000 0.0000

## Properties
Space-group type: Pm-3m (221)
Total DFT energy (no corrections), eV per atom: -6.692
E_form, eV per atom: -0.379
Energy above the lowest structure with this stoichiometry, kcal/mol of atoms: 0.00

Compound: TlAg12Pd7
Source: Alexandria via LeMat-Bulk
Functional: PBE
Structure: relaxed

Lattice parameters (Å, degrees): 7.5486 7.5486 7.5486 107.02 107.02 107.02
Element x y z (fractional)
Pd 0.9004 0.3249 0.0177
Pd 0.3249 0.0177 0.9004
Ag 0.7735 0.3384 0.6340
Tl 0.0000 0.0000 0.0000
Ag 0.3039 0.4142 0.0363
Ag 0.6616 0.3660 0.2265
Pd 0.0177 0.9004 0.3249
Ag 0.9637 0.6961 0.5858
Pd 0.9823 0.0996 0.6751
Ag 0.2265 0.6616 0.3660
Pd 0.6751 0.9823 0.0996
Ag 0.3384 0.6340 0.7735
Ag 0.0363 0.3039 0.4142
Ag 0.6340 0.7735 0.3384
Ag 0.5858 0.9637 0.6961
Ag 0.4142 0.0363 0.3039
Ag 0.3660 0.2265 0.6616
Ag 0.6961 0.5858 0.9637
Pd 0.0996 0.6751 0.9823
Pd 0.5000 0.5000 0.5000

## Properties
Space-group type: R-3 (148)
Total DFT energy (no corrections), eV per atom: -3.627
E_form, eV per atom: 0.019

Compound: GdPuGeRu
Source: Alexandria via LeMat-Bulk
Functional: PBE
Structure: relaxed

Lattice parameters (Å, degrees): 4.9491 4.9491 4.9491 60.00 60.00 60.00
Element x y z (fractional)
Ru 0.7500 0.7500 0.7500
Pu 0.0000 0.0000 0.0000
Ge 0.2500 0.2500 0.2500
Gd 0.5000 0.5000 0.5000

## Properties
Space-group type: F-43m (216)
Total DFT energy (no corrections), eV per atom: -10.843
E_form, eV per atom: -0.266

Compound: ScFeSi2
Source: Alexandria via LeMat-Bulk
Functional: PBE
Structure: relaxed

Lattice parameters (Å, degrees): 7.7766 8.9288 9.7569 90.00 90.00 90.00
Element x y z (fractional)
Fe 0.7463 0.5000 0.0000
Si 0.8468 0.1603 0.3208
Si 0.8468 0.3397 0.8208
Si 0.5000 0.9637 0.1211
Si 0.1532 0.1603 0.3208
Sc 0.2528 0.1757 0.0486
Fe 0.7463 0.0000 0.5000
Si 0.5000 0.5363 0.6211
Si 0.5000 0.4637 0.3789
Si 0.5000 0.8784 0.3934
Fe 0.7485 0.4144 0.2601
Si 0.0000 0.5411 0.6264
Sc 0.5000 0.1692 0.3221
Sc 0.2528 0.6757 0.4514
Fe 0.7485 0.5856 0.7399
Si 0.1532 0.6603 0.1792
Fe 0.2537 0.0000 0.5000
Fe 0.2515 0.5856 0.7399
Sc 0.2528 0.3243 0.5486
Si 0.0000 0.4589 0.3736
Fe 0.2537 0.5000 0.0000
Si 0.5000 0.3784 0.1066
Sc 0.7472 0.6757 0.4514
Si 0.0000 0.1046 0.6038
Fe 0.7485 0.0856 0.7601
Si 0.5000 0.6216 0.8934
Fe 0.7485 0.9144 0.2399
Fe 0.2515 0.9144 0.2399
Sc 0.7472 0.3243 0.5486
Si 0.0000 0.8954 0.3962
Sc 0.7472 0.8243 0.9514
Si 0.8468 0.6603 0.1792
Si 0.5000 0.0363 0.8789
Si 0.0000 0.9589 0.1264
Si 0.1532 0.3397 0.8208
Fe 0.2515 0.4144 0.2601
Sc 0.5000 0.8308 0.6779
Sc 0.5000 0.6692 0.1779
Sc 0.2528 0.8243 0.9514
Si 0.8468 0.8397 0.6792
Si 0.0000 0.6046 0.8962
Fe 0.2515 0.0856 0.7601
Si 0.0000 0.3954 0.1038
Si 0.5000 0.1216 0.6066
Sc 0.5000 0.3308 0.8221
Si 0.1532 0.8397 0.6792
Sc 0.7472 0.1757 0.0486
Si 0.0000 0.0411 0.8736

## Properties
Space-group type: Pbam (55)
Total DFT energy (no corrections), eV per atom: -7.091
Formation energy without anion corrections, eV/atom: -0.6804

Compound: Tl3Fe
Source: Alexandria via LeMat-Bulk
Functional: PBE
Structure: relaxed

Lattice parameters (Å, degrees): 4.6454 4.6454 4.6454 90.00 90.00 90.00
Element x y z (fractional)
Tl 0.5000 0.5000 0.0000
Tl 0.0000 0.5000 0.5000
Tl 0.5000 0.0000 0.5000
Fe 0.0000 0.0000 0.0000

## Properties
Space-group type: Pm-3m (221)
Total DFT energy (no corrections), eV per atom: -3.304
E_form, eV per atom: 0.586

Compound: CaAlI2N
Source: Alexandria via LeMat-Bulk
Functional: PBE
Structure: relaxed

Lattice parameters (Å, degrees): 5.8891 5.8891 3.6216 90.00 90.00 90.00
Element x y z (fractional)
N 0.0000 0.0000 0.5000
Al 0.0000 0.0000 0.0000
Ca 0.5000 0.5000 0.5000
I 0.0000 0.5000 0.0000
I 0.5000 0.0000 0.0000

## Properties
Space-group type: P4/mmm (123)
Total DFT energy (no corrections), eV per atom: -3.882
Formation energy without anion corrections, eV/atom: -0.4481
Energy above the lowest structure with this stoichiometry, kcal/mol of atoms: 0.00

Compound: KRbPaBr6
Source: Alexandria via LeMat-Bulk
Functional: PBE
Structure: relaxed

Lattice parameters (Å, degrees): 8.1663 8.1663 14.0350 90.00 90.00 120.00
Element x y z (fractional)
Br 0.6603 0.6125 0.1344
Br 0.6125 0.6603 0.6344
Br 0.0478 0.3875 0.6344
Br 0.3397 0.3875 0.8656
Pa 0.3333 0.6667 0.7500
Br 0.3875 0.3397 0.3656
Br 0.6125 0.9522 0.8656
Br 0.9522 0.3397 0.1344
Br 0.9522 0.6125 0.3656
Br 0.3397 0.9522 0.6344
Rb 0.0000 0.0000 0.0000
Br 0.0478 0.6603 0.8656
Pa 0.6667 0.3333 0.2500
Rb 0.0000 0.0000 0.5000
Br 0.6603 0.0478 0.3656
K 0.6667 0.3333 0.7500
Br 0.3875 0.0478 0.1344
K 0.3333 0.6667 0.2500

## Properties
Space-group type: P-31c (163)
Total DFT energy (no corrections), eV per atom: -4.041
Formation energy without anion corrections, eV/atom: -1.6411